An optimized crystal structure of K4ThNb3O12, computed with GGA-PBE.

## Properties
Crystal system = cubic
Final energy = -7.52 eV per atom
Uncorrected formation energy = -2.445 eV per atom
DOS at the Fermi energy = 25.22 states/eV per cell

Cell lengths 8.3998, 8.3998, 8.3998 Å; angles 90.00, 90.00, 90.00 degrees
Space group Im-3m (No. 229)
Inequivalent atoms, fractional coordinates:
K  0.2500  0.2500  0.2500 x8
Th  0.0000  0.0000  0.0000 x2
Nb  0.0000  0.0000  0.5000 x6
O  0.0000  0.0000  0.2686 x12
O  0.0000  0.2500  0.5000 x12

***

An optimized crystal structure of Pr4Sm2HoMg, computed with GGA-PBE.

## Properties
Crystal system = tetragonal
Final energy = -4.34 eV per atom
Formation enthalpy at 0 K = 0.004 eV per atom
DOS at the Fermi energy = 10.30 states/eV per cell

Cell lengths 5.1156, 5.1156, 10.1517 Å; angles 90.00, 90.00, 90.00 degrees
Space group P4/mmm (No. 123)
Inequivalent atoms, fractional coordinates:
Pr  0.0000  0.5000  0.2470 x4
Sm  0.0000  0.0000  0.0000 x1
Sm  0.5000  0.5000  0.5000 x1
Ho  0.0000  0.0000  0.5000 x1
Mg  0.5000  0.5000  0.0000 x1

***

An optimized crystal structure of CuOs4Br, computed with GGA-PBE.

## Properties
Crystal system = cubic
Final energy = -6.98 eV per atom
Uncorrected formation energy = 1.468 eV per atom
DOS at the Fermi energy = 40.32 states/eV per cell

Cell lengths 7.3892, 7.3892, 7.3892 Å; angles 90.00, 90.00, 90.00 degrees
Space group F-43m (No. 216)
Inequivalent atoms, fractional coordinates:
Cu  0.0000  0.0000  0.0000 x4
Os  0.1253  0.1253  0.3747 x16
Br  0.2500  0.2500  0.7500 x4

***

An optimized crystal structure of Pr3HgPb3, computed with GGA-PBE.

## Properties
Offset from the most stable computed form = 0.0 meV per atom
Crystal system = monoclinic
Final energy = -4.18 eV per atom
Formation enthalpy at 0 K = -0.502 eV per atom
DOS at the Fermi energy = 21.03 states/eV per cell

Cell lengths 12.0723, 4.7462, 15.9326 Å; angles 90.00, 107.60, 90.00 degrees
Space group C2/m (No. 12)
Inequivalent atoms, fractional coordinates:
Pr  0.0198  0.0000  0.3755 x4
Pr  0.1017  0.0000  0.9238 x4
Pr  0.2256  0.0000  0.2243 x4
Hg  0.2404  0.5000  0.3622 x4
Pb  0.0057  0.5000  0.7752 x4
Pb  0.1247  0.5000  0.0742 x4
Pb  0.1422  0.5000  0.5315 x4

***

An optimized crystal structure of CrNiHPd2, computed with GGA-PBE.

## Properties
Offset from the most stable computed form = 49.0 meV per atom
Crystal system = tetragonal
Final energy = -5.80 eV per atom
DOS at the Fermi energy = 5.29 states/eV per cell

Cell lengths 3.8853, 3.8853, 3.8971 Å; angles 90.00, 90.00, 90.00 degrees
Space group P4/mmm (No. 123)
Inequivalent atoms, fractional coordinates:
Cr  0.0000  0.0000  0.0000 x1
Ni  0.5000  0.5000  0.0000 x1
H  0.0000  0.0000  0.5000 x1
Pd  0.0000  0.5000  0.5000 x2

***

An optimized crystal structure of Nb2Zn2Ni15, computed with GGA-PBE.

## Properties
Crystal system = trigonal
Final energy = -5.80 eV per atom
Formation enthalpy at 0 K = -0.046 eV per atom
DOS at the Fermi energy = 79.14 states/eV per cell

Cell lengths 8.1257, 8.1257, 12.0927 Å; angles 90.00, 90.00, 120.00 degrees
Space group R-3m (No. 166, hexagonal axes)
Inequivalent atoms, fractional coordinates:
Nb  0.0000  0.0000  0.1385 x6
Zn  0.0000  0.0000  0.3967 x6
Ni  0.0000  0.3196  0.5000 x18
Ni  0.0000  0.5000  0.0000 x9
Ni  0.0074  0.5037  0.6596 x18

***

| no. | total moment (μB/atom) |
| --- | --- |
| 1 | 0.04 |
| 2 | 0.00 |
| 3 | 0.28 |
| 4 | 0.00 |
| 5 | 0.64 |
| 6 | 0.09 |